[1]
Nb2Al2In | Alexandria via LeMat-Bulk | PBE | relaxed; DOS at the Fermi energy = 0.486 states/eV/atom; polymorph energy (0 for the lowest one) = 76 meV per atom; energy of formation = 11 kJ/mol of formula units; symmetry = P4/mbm, No. 127
1.0
7.4311 0.0000 0.0000
0.0000 7.4311 0.0000
0.0000 0.0000 3.4781
Nb Al In
4 4 2
direct
0.1251 0.3749 0.0000
0.3749 0.8749 0.0000
0.6251 0.1251 0.0000
0.8749 0.6251 0.0000
0.1717 0.6717 0.5000
0.3283 0.1717 0.5000
0.6717 0.8283 0.5000
0.8283 0.3283 0.5000
0.0000 0.0000 0.0000
0.5000 0.5000 0.0000

=====

[2]
Pm2ErTh4 | Alexandria via LeMat-Bulk | PBE | relaxed; DOS at the Fermi energy = 1.474 states/eV/atom; energy of formation = 50 kJ/mol of formula units; symmetry = Cmmm, No. 65
1.0
1.7874 -18.1415 0.0000
1.7874 18.1415 0.0000
0.0000 0.0000 3.5770
Pm Er Th
2 1 4
direct
0.2061 0.7939 0.0000
0.7939 0.2061 0.0000
0.5000 0.5000 0.5000
0.0699 0.9301 0.0000
0.3628 0.6372 0.5000
0.6372 0.3628 0.5000
0.9301 0.0699 0.0000

=====

[3]
Ce2Pt2Au3 | Alexandria via LeMat-Bulk | PBE | relaxed; DOS at the Fermi energy = 1.525 states/eV/atom; energy of formation = -508 kJ/mol of formula units; symmetry = Cmmm, No. 65
1.0
2.0332 -10.0766 0.0000
2.0332 10.0766 0.0000
0.0000 0.0000 3.7050
Ce Pt Au
2 2 3
direct
0.1560 0.8440 0.0000
0.8440 0.1560 0.0000
0.2967 0.7033 0.5000
0.7033 0.2967 0.5000
0.0000 0.0000 0.0000
0.4332 0.5668 0.5000
0.5668 0.4332 0.5000

=====

[4]
CaCd2Cl | Alexandria via LeMat-Bulk | PBE | relaxed; DOS at the Fermi energy = 0.472 states/eV/atom; polymorph energy (0 for the lowest one) = 488 meV per atom; formation energy (no corrections) = -301 meV per atom; symmetry = Fm-3m, No. 225
1.0
0.0000 3.8766 3.8766
3.8766 0.0000 3.8766
3.8766 3.8766 0.0000
Ca Cd Cl
1 2 1
direct
0.0000 0.0000 0.0000
0.2500 0.2500 0.2500
0.7500 0.7500 0.7500
0.5000 0.5000 0.5000

=====

[5]
Mn2Be2In | Alexandria via LeMat-Bulk | PBE | relaxed; DOS at the Fermi energy = 0.382 states/eV/atom; energy of formation = 33 kJ/mol of formula units; symmetry = P4/mbm, No. 127
1.0
6.6047 0.0000 0.0000
0.0000 6.6047 0.0000
0.0000 0.0000 2.8595
Mn Be In
4 4 2
direct
0.1705 0.3295 0.0000
0.3295 0.8295 0.0000
0.6705 0.1705 0.0000
0.8295 0.6705 0.0000
0.1153 0.6153 0.5000
0.3847 0.1153 0.5000
0.6153 0.8847 0.5000
0.8847 0.3847 0.5000
0.0000 0.0000 0.5000
0.5000 0.5000 0.5000

=====

[6]
GdPuSb | Alexandria via LeMat-Bulk | PBE | relaxed; DOS at the Fermi energy = 2.792 states/eV/atom; formation energy (no corrections) = -507 meV per atom; symmetry = I4mm, No. 107
1.0
-2.0393 2.0393 4.8474
2.0393 -2.0393 4.8474
2.0393 2.0393 -4.8474
Gd Pu Sb
1 1 1
direct
0.0000 0.0000 0.0000
0.3061 0.3061 0.0000
0.6502 0.6502 0.0000

=====

[7]
Be3CuRu | Alexandria via LeMat-Bulk | PBE | relaxed; DOS at the Fermi energy = 0.787 states/eV/atom; polymorph energy (0 for the lowest one) = 0 meV per atom; energy of formation = 311 kJ/mol of formula units; symmetry = Pm-3m, No. 221
1.0
3.8633 0.0000 0.0000
0.0000 3.8633 0.0000
0.0000 0.0000 3.8633
Be Cu Ru
3 1 1
direct
0.0000 0.0000 0.5000
0.0000 0.5000 0.0000
0.5000 0.0000 0.0000
0.0000 0.0000 0.0000
0.5000 0.5000 0.5000

=====

[8]
GdAlGaPd | Alexandria via LeMat-Bulk | PBE | relaxed; DOS at the Fermi energy = 0.615 states/eV/atom; energy of formation = -238 kJ/mol of formula units; symmetry = F-43m, No. 216
1.0
0.0000 3.3584 3.3584
3.3584 0.0000 3.3584
3.3584 3.3584 0.0000
Gd Al Ga Pd
1 1 1 1
direct
0.0000 0.0000 0.0000
0.5000 0.5000 0.5000
0.2500 0.2500 0.2500
0.7500 0.7500 0.7500